[1]
# BaSr2B2

A PBEsol-optimized structure of BaSr2B2 (SCAN, the Alexandria database).

Unit cell a=5.2328 b=5.2328 c=6.2141 alpha=98.29 beta=98.29 gamma=75.34
With the nearest neighbours (Å) after each atom.
Fractional positions:
1 Sr 0.3382 0.3382 0.6398  4 B 2.88-2.97
2 Sr 0.6618 0.6618 0.3602  4 B 2.88-2.97
3 B 0.1218 0.8782 0.5000  1 B 1.56
4 B 0.8782 0.1218 0.5000  1 B 1.56
5 Ba 0.0000 0.0000 0.0000  4 B 3.20

Output
Energy relative to the elements: 19.5 kJ/mol of atoms
Density: 3.43 g/cm³
Size of the total moment: 0.113 μB per atom
DOS at the Fermi energy: 3.1 states/eV/cell
Volume: 32.4 A^3/atom

=====

[2]
# Sc3CrAu

A PBEsol-optimized structure of Sc3CrAu (SCAN, the Alexandria database).

Unit cell a=5.0979 b=5.0979 c=5.0979 alpha=90.00 beta=90.00 gamma=90.00
With the nearest neighbours (Å) after each atom.
Fractional positions:
1 Sc 0.0000 0.5000 0.0000  2 Au 2.55
2 Sc 0.0000 0.0000 0.5000  2 Au 2.55
3 Sc 0.5000 0.0000 0.0000  2 Au 2.55
4 Cr 0.5000 0.5000 0.5000  12 Sc 3.60
5 Au 0.0000 0.0000 0.0000  6 Sc 2.55

Output
Energy relative to the elements: 11.2 kJ/mol of atoms
Density: 4.81 g/cm³
Size of the total moment: 1.255 μB per atom
DOS at the Fermi energy: 7.0 states/eV/cell
Volume: 26.5 A^3/atom